12
Lattice="-3.707 1.205 -1.073 -1.631 -2.396 2.818 -1.126 9.681 9.559" Properties=species:S:1:pos:R:3 comment="LaTh2P2Rh7 (GGA-PBE, relaxed)" e_form_mev_per_atom=-934 pbc="T T T"
La 0.000 0.000 0.000
Th -5.149 2.353 4.924
Th -1.315 6.137 6.381
P -3.969 6.544 8.173
P -2.495 1.946 3.132
Rh -2.669 -0.595 0.873
Rh -2.474 3.643 4.691
Rh -3.990 4.847 6.614
Rh -4.408 1.711 1.854
Rh -3.371 -0.088 3.797
Rh -3.093 8.578 7.507
Rh -2.056 6.780 9.451

=====

12
Lattice="-1.515 6.647 2.873 -4.848 -3.261 -4.538 -1.255 -4.520 6.607" Properties=species:S:1:pos:R:3 comment="Rb3Ac2ScS6 (GGA-PBE, relaxed)" formation_energy_uncorrected_kj_per_mol_atoms=-172.42 pbc="T T T"
Rb -4.920 -3.870 0.001
Rb -2.698 2.736 4.942
Rb -3.809 -0.567 2.471
Ac -3.737 0.042 -2.067
Ac -2.626 3.344 0.402
Sc 0.000 0.000 0.000
S -5.489 0.515 5.137
S -5.096 1.703 0.015
S -2.129 -1.649 -0.194
S -6.499 -2.487 2.891
S -2.521 -2.837 4.927
S -1.119 1.353 2.051

=====

| no. | total DFT energy (no corrections) (eV per atom) |
| --- | --- |
| 1 | -7.771 |
| 2 | -5.305 |